A plane-wave DFT calculation with PBE was carried out for an optimized crystal structure of KYSeBr2.

The space group is P4/mmm (No. 123) and the conventional cell measures 5.686, 5.686 and 5.479 Å, with angles of 90.00, 90.00 and 90.00 degrees. The distinct sites, in fractional coordinates, are K at (0.000, 0.000, 0.000), Y at (0.500, 0.500, 0.500), Se at (0.500, 0.500, 0.000) and Br at (0.000, 0.500, 0.500).

The value obtained for the calculated total energy is -22.76 eV per cell. The energy above the most stable polymorph in this dataset is 0.000 eV per atom. As for the crystal system: tetragonal. The formation energy without anion corrections comes out at -8.37 eV per formula unit. The size of the total moment comes out at 0.0000 μB/atom. As for the density of states at the Fermi level: 0.00 states/eV/f.u.